## SrZrFeS2 (SCAN)

Data for a crystal of SrZrFeS2 relaxed with PBEsol.

## Properties
raw total energy	-16.871	eV/atom
energy relative to the elements, uncorrected	115.8	kJ/mol of atoms
theoretical density	3.248	g/cm3

Cell lengths 5.210, 5.210, 5.628 Å; angles 90.00, 90.00, 90.00 degrees
Space group P4/mmm (No. 123)
Unique sites:
Sr  0.000  0.000  0.000 x1
Zr  0.000  0.000  0.500 x1
Fe  0.500  0.500  0.500 x1
S  0.000  0.500  0.000 x2